The following is a DFT calculation (PBE) of crystalline SiTeS at its relaxed geometry.

Space group: P1
ΔE_f (raw): -205 meV/atom
Density of states at the Fermi level: 0.44 states/eV/cell

```
SiTeS
1.0
3.5517 0.0000 0.0000
0.7501 3.7746 0.0000
0.6358 0.2955 6.7245
Si Te S
1 1 1
Cartesian
0.0000 0.0000 0.0000 Si
3.9190 1.8893 1.6715 Te
2.4130 0.2958 5.4253 S
```